Computed, not measured: a relaxed TlTe2NO crystal at the PBE level of DFT.

Summary:
- distance to the lowest polymorph of the same formula (kcal/mol of atoms) = 0.000
- ρ (Mg/m³) = 6.68
- raw total energy (eV per atom) = -3.516
- formation energy without anion corrections (meV/atom) = 870

a b c (Å): 4.5565 4.5565 5.8621
angles (deg): 90.00 90.00 90.00
Last column: nearest neighbours and their distance in Å.
Sites, in units of the cell vectors:
Te 0.0000 0.5000 0.0000  2 O 2.28
Tl 0.5000 0.5000 0.5000  4 N 3.22
O 0.0000 0.0000 0.0000  4 Te 2.28
Te 0.5000 0.0000 0.0000  2 O 2.28
N 0.0000 0.0000 0.5000  2 O 2.93, 4 Tl 3.22

---

Computed, not measured: a relaxed LiCeThIr crystal at the PBE level of DFT.

Summary:
- ρ (Mg/m³) = 10.45
- ΔE_f (eV per atom) = -0.31
- raw total energy (eV per atom) = -6.338

a b c (Å): 5.0446 5.0446 5.0446
angles (deg): 60.00 60.00 60.00
Last column: nearest neighbours and their distance in Å.
Sites, in units of the cell vectors:
Ir 0.0000 0.0000 0.0000  4 Th 3.09, 4 Ce 3.09
Ce 0.2500 0.2500 0.2500  4 Ir 3.09, 4 Li 3.09
Li 0.5000 0.5000 0.5000  4 Ce 3.09, 4 Th 3.09
Th 0.7500 0.7500 0.7500  4 Li 3.09, 4 Ir 3.09

---

Computed, not measured: a relaxed Tc2AsPb crystal at the PBE level of DFT.

Summary:
- distance to the lowest polymorph of the same formula (kcal/mol of atoms) = 4.009
- ρ (Mg/m³) = 9.68
- ΔE_f (eV per atom) = 0.31
- raw total energy (eV per atom) = -6.961

a b c (Å): 10.5806 10.5806 10.5806
angles (deg): 16.37 16.37 16.37
Last column: nearest neighbours and their distance in Å.
Sites, in units of the cell vectors:
Tc 0.2546 0.2546 0.2546  3 As 2.59, 3 Tc 2.65
Tc 0.9849 0.9849 0.9849  3 Tc 2.65
As 0.5267 0.5267 0.5267  3 Tc 2.59
Pb 0.7338 0.7338 0.7338  6 Pb 3.01, 3 Tc 3.11

---

Computed, not measured: a relaxed CaMg2Rh2 crystal at the PBE level of DFT.

Summary:
- distance to the lowest polymorph of the same formula (kcal/mol of atoms) = 2.089
- ρ (Mg/m³) = 4.81
- ΔE_f (eV per atom) = -0.32
- raw total energy (eV per atom) = -4.297

a b c (Å): 4.2510 4.2510 6.3822
angles (deg): 70.55 70.55 90.00
Last column: nearest neighbours and their distance in Å.
Sites, in units of the cell vectors:
Mg 0.7500 0.2500 0.5000  4 Rh 2.64
Ca 0.0000 0.0000 0.0000  8 Rh 3.26, 8 Mg 3.53
Mg 0.2500 0.7500 0.5000  4 Rh 2.64
Rh 0.6117 0.6117 0.7767  1 Rh 2.51, 4 Mg 2.64
Rh 0.3883 0.3883 0.2233  1 Rh 2.51, 4 Mg 2.64